# 1
First-principles (PBE) data for crystalline PrHPd3 at its relaxed geometry, as listed in the Alexandria database.

Unit cell a=4.2591 b=4.2591 c=4.2591 alpha=90.00 beta=90.00 gamma=90.00
Last column: nearest neighbours and their distance in Å.
Element x y z (fractional)
1 Pd 0.5000 0.0000 0.0000  2 H 2.13
2 Pd 0.0000 0.5000 0.0000  2 H 2.13
3 Pd 0.0000 0.0000 0.5000  2 H 2.13
4 H 0.0000 0.0000 0.0000  6 Pd 2.13
5 Pr 0.5000 0.5000 0.5000  12 Pd 3.01

Computed properties:
- Space group: Pm-3m (221)
- Size of the total moment: 0.00 μB/f.u.
- Relative energy among the computed polymorphs: 3.7 kJ/mol of atoms

***

# 2
First-principles (PBE) data for crystalline Zr2Fe3Tc at its relaxed geometry, as listed in the Alexandria database.

Unit cell a=5.0119 b=5.0119 c=8.4080 alpha=90.00 beta=90.00 gamma=120.00
Last column: nearest neighbours and their distance in Å.
Element x y z (fractional)
1 Zr 0.3333 0.6667 0.9365  3 Tc 2.94, 9 Fe 2.96-2.99, 4 Zr 3.08-3.14
2 Zr 0.6667 0.3333 0.4365  3 Tc 2.94, 9 Fe 2.96-2.99, 4 Zr 3.08-3.14
3 Zr 0.3333 0.6667 0.5635  3 Tc 2.94, 9 Fe 2.96-2.99, 4 Zr 3.08-3.14
4 Zr 0.6667 0.3333 0.0635  3 Tc 2.94, 9 Fe 2.96-2.99, 4 Zr 3.08-3.14
5 Fe 0.8295 0.1705 0.7500  4 Fe 2.45-2.56, 2 Tc 2.57
6 Fe 0.6590 0.8295 0.2500  4 Fe 2.45-2.56, 2 Tc 2.57
7 Fe 0.1705 0.8295 0.2500  4 Fe 2.45-2.56, 2 Tc 2.57
8 Fe 0.3410 0.1705 0.7500  4 Fe 2.45-2.56, 2 Tc 2.57
9 Fe 0.1705 0.3410 0.2500  4 Fe 2.45-2.56, 2 Tc 2.57
10 Fe 0.8295 0.6590 0.7500  4 Fe 2.45-2.56, 2 Tc 2.57
11 Tc 0.0000 0.0000 0.0000  6 Fe 2.57
12 Tc 0.0000 0.0000 0.5000  6 Fe 2.57

Computed properties:
- Uncorrected energy: -0.33329 Ha/atom
- Space group: P6_3/mmc (194)
- Size of the total moment: 5.03 μB/f.u.

***

# 3
First-principles (PBE) data for crystalline CrHPd3 at its relaxed geometry, as listed in the Alexandria database.

Unit cell a=3.9776 b=3.9776 c=3.9776 alpha=90.00 beta=90.00 gamma=90.00
Last column: nearest neighbours and their distance in Å.
Element x y z (fractional)
1 Cr 0.5000 0.5000 0.5000  12 Pd 2.81
2 Pd 0.5000 0.0000 0.0000  2 H 1.99
3 Pd 0.0000 0.0000 0.5000  2 H 1.99
4 Pd 0.0000 0.5000 0.0000  2 H 1.99
5 H 0.0000 0.0000 0.0000  6 Pd 1.99

Computed properties:
- Space group: Pm-3m (221)
- Size of the total moment: 3.30 μB/f.u.
- Relative energy among the computed polymorphs: 0.0 kJ/mol of atoms

***

# 4
First-principles (PBE) data for crystalline HfTiSe4 at its relaxed geometry, as listed in the Alexandria database.

Unit cell a=3.6604 b=6.3303 c=13.3842 alpha=89.75 beta=90.00 gamma=90.00
Last column: nearest neighbours and their distance in Å.
Element x y z (fractional)
1 Se 0.0001 0.6584 0.8847  2 Ti 2.59, 1 Hf 2.66
2 Se 0.9999 0.3416 0.1153  2 Ti 2.59, 1 Hf 2.66
3 Se 0.9999 0.3228 0.6185  1 Ti 2.59, 2 Hf 2.67
4 Se 0.5001 0.8228 0.1185  1 Ti 2.59, 2 Hf 2.67
5 Se 0.5001 0.8416 0.6153  2 Ti 2.59, 1 Hf 2.66
6 Se 0.4999 0.1772 0.8815  1 Ti 2.59, 2 Hf 2.67
7 Se 0.0001 0.6772 0.3815  1 Ti 2.59, 2 Hf 2.67
8 Se 0.4999 0.1584 0.3847  2 Ti 2.59, 1 Hf 2.66
9 Hf 0.5000 0.5000 0.5000  6 Se 2.66-2.67
10 Hf 0.0000 0.0000 0.0000  6 Se 2.66-2.67
11 Ti 0.0000 0.0000 0.5000  6 Se 2.59
12 Ti 0.5000 0.5000 0.0000  6 Se 2.59

Computed properties:
- Uncorrected energy: -0.23944 Ha/atom
- Space group: C2/m (12)
- Size of the total moment: 0.00 μB/f.u.

***

# 5
First-principles (PBE) data for crystalline Ti3Al2Ga3 at its relaxed geometry, as listed in the Alexandria database.

Unit cell a=3.9193 b=5.1886 c=13.8721 alpha=90.00 beta=90.00 gamma=112.19
Last column: nearest neighbours and their distance in Å.
Element x y z (fractional)
1 Ti 0.3544 0.7088 0.9759  4 Ga 2.69-2.90, 3 Al 2.72-2.85, 3 Ti 2.88
2 Ti 0.5112 0.0224 0.2500  7 Ga 2.80-3.00, 4 Al 3.02
3 Ti 0.6456 0.2912 0.4759  4 Ga 2.69-2.90, 3 Al 2.72-2.85, 3 Ti 2.88
4 Ti 0.3544 0.7088 0.5241  4 Ga 2.69-2.90, 3 Al 2.72-2.85, 3 Ti 2.88
5 Ti 0.6456 0.2912 0.0241  4 Ga 2.69-2.90, 3 Al 2.72-2.85, 3 Ti 2.88
6 Ti 0.4888 0.9776 0.7500  7 Ga 2.80-3.00, 4 Al 3.02
7 Ga 0.9467 0.8934 0.4075  2 Ga 2.59-2.76, 1 Al 2.62, 4 Ti 2.69-2.90
8 Ga 0.0533 0.1066 0.9075  2 Ga 2.59-2.76, 1 Al 2.62, 4 Ti 2.69-2.90
9 Ga 0.0533 0.1066 0.5925  2 Ga 2.59-2.76, 1 Al 2.62, 4 Ti 2.69-2.90
10 Ga 0.1975 0.3950 0.7500  4 Al 2.55, 2 Ga 2.59, 3 Ti 2.80
11 Ga 0.8025 0.6050 0.2500  4 Al 2.55, 2 Ga 2.59, 3 Ti 2.80
12 Ga 0.9467 0.8934 0.0925  2 Ga 2.59-2.76, 1 Al 2.62, 4 Ti 2.69-2.90
13 Al 0.7949 0.5897 0.8466  3 Ga 2.55-2.62, 1 Al 2.68, 3 Ti 2.72-2.85
14 Al 0.2051 0.4103 0.1534  3 Ga 2.55-2.62, 1 Al 2.68, 3 Ti 2.72-2.85
15 Al 0.7949 0.5897 0.6534  3 Ga 2.55-2.62, 1 Al 2.68, 3 Ti 2.72-2.85
16 Al 0.2051 0.4103 0.3466  3 Ga 2.55-2.62, 1 Al 2.68, 3 Ti 2.72-2.85

Computed properties:
- Uncorrected energy: -0.19506 Ha/atom
- Space group: Cmcm (63)
- Size of the total moment: 0.00 μB/f.u.

***

# 6
First-principles (PBE) data for crystalline KCaCd2 at its relaxed geometry, as listed in the Alexandria database.

Unit cell a=5.6948 b=5.6948 c=5.6948 alpha=60.00 beta=60.00 gamma=60.00
Last column: nearest neighbours and their distance in Å.
Element x y z (fractional)
1 Cd 0.2500 0.2500 0.2500  4 K 3.49, 4 Ca 3.49
2 Cd 0.7500 0.7500 0.7500  4 Ca 3.49, 4 K 3.49
3 Ca 0.5000 0.5000 0.5000  8 Cd 3.49
4 K 0.0000 0.0000 0.0000  8 Cd 3.49

Computed properties:
- Space group: Fm-3m (225)
- Size of the total moment: 0.00 μB/f.u.
- Relative energy among the computed polymorphs: 7.4 kJ/mol of atoms

***

# 7
First-principles (PBE) data for crystalline K2TmGaTe4 at its relaxed geometry, as listed in the Alexandria database.

Unit cell a=7.3446 b=7.1945 c=7.1945 alpha=74.90 beta=59.31 gamma=59.31
Last column: nearest neighbours and their distance in Å.
Element x y z (fractional)
1 K 0.0000 0.5000 0.5000  8 Te 3.63-3.82, 2 K 3.67
2 K 0.5000 0.5000 0.5000  8 Te 3.63-3.82, 2 K 3.67
3 Te 0.5514 0.0000 0.3454  1 Ga 2.70, 1 Tm 2.94
4 Te 0.4486 0.6546 0.0000  1 Ga 2.70, 1 Tm 2.94
5 Te 0.8968 0.0000 0.6546  1 Ga 2.70, 1 Tm 2.94
6 Te 0.1032 0.3454 0.0000  1 Ga 2.70, 1 Tm 2.94
7 Tm 0.0000 0.0000 0.0000  4 Te 2.94
8 Ga 0.5000 0.0000 0.0000  4 Te 2.70

Computed properties:
- Uncorrected energy: -0.13691 Ha/atom
- Space group: I-42m (121)
- Size of the total moment: 0.00 μB/f.u.

***

# 8
First-principles (PBE) data for crystalline HfScFeCu at its relaxed geometry, as listed in the Alexandria database.

Unit cell a=3.1669 b=3.1669 c=6.4994 alpha=90.00 beta=90.00 gamma=90.00
Last column: nearest neighbours and their distance in Å.
Element x y z (fractional)
1 Hf 0.0000 0.0000 0.3414  4 Fe 2.66, 4 Cu 2.80
2 Fe 0.5000 0.5000 0.1197  4 Hf 2.66, 4 Sc 2.78
3 Sc 0.0000 0.0000 0.8662  4 Fe 2.78, 4 Cu 2.83, 1 Hf 3.09
4 Cu 0.5000 0.5000 0.6007  4 Hf 2.80, 4 Sc 2.83, 1 Fe 3.13

Computed properties:
- Space group: P4mm (99)
- Size of the total moment: 0.00 μB/f.u.
- Relative energy among the computed polymorphs: 0.0 kJ/mol of atoms

***

# 9
First-principles (PBE) data for crystalline ErAgSe2 at its relaxed geometry, as listed in the Alexandria database.

Unit cell a=4.2424 b=6.8121 c=13.7368 alpha=90.00 beta=90.00 gamma=90.00
Last column: nearest neighbours and their distance in Å.
Element x y z (fractional)
1 Ag 0.4906 0.2073 0.6269  4 Se 2.71-2.76
2 Ag 0.0094 0.7927 0.1269  4 Se 2.71-2.76
3 Ag 0.5094 0.7073 0.8731  4 Se 2.71-2.76
4 Ag 0.9906 0.2927 0.3731  4 Se 2.71-2.76
5 Er 0.2811 0.7073 0.6275  6 Se 2.84-2.88
6 Er 0.7189 0.2073 0.8725  6 Se 2.84-2.88
7 Er 0.7811 0.7927 0.3725  6 Se 2.84-2.88
8 Er 0.2189 0.2927 0.1275  6 Se 2.84-2.88
9 Se 0.2262 0.0116 0.9729  2 Ag 2.75-2.76, 3 Er 2.84-2.88
10 Se 0.2738 0.9884 0.4729  2 Ag 2.75-2.76, 3 Er 2.84-2.88
11 Se 0.2791 0.5874 0.2743  2 Ag 2.71-2.72, 3 Er 2.86-2.88
12 Se 0.2209 0.4126 0.7743  2 Ag 2.71-2.72, 3 Er 2.86-2.88
13 Se 0.7738 0.5116 0.5271  2 Ag 2.75-2.76, 3 Er 2.84-2.88
14 Se 0.7262 0.4884 0.0271  2 Ag 2.75-2.76, 3 Er 2.84-2.88
15 Se 0.7791 0.9126 0.7257  2 Ag 2.71-2.72, 3 Er 2.86-2.88
16 Se 0.7209 0.0874 0.2257  2 Ag 2.71-2.72, 3 Er 2.86-2.88

Computed properties:
- Uncorrected energy: -0.17626 Ha/atom
- Space group: P2_12_12_1 (19)
- Size of the total moment: 0.00 μB/f.u.

***

# 10
First-principles (PBE) data for crystalline CdP2Os at its relaxed geometry, as listed in the Alexandria database.

Unit cell a=5.6395 b=5.6395 c=6.8147 alpha=65.56 beta=65.56 gamma=90.00
Last column: nearest neighbours and their distance in Å.
Element x y z (fractional)
1 P 0.3750 0.3172 0.7500  2 Os 2.25
2 P 0.8750 0.9328 0.7500  2 Os 2.25
3 P 0.0672 0.6250 0.2500  2 Os 2.25
4 P 0.6828 0.1250 0.2500  2 Os 2.25
5 Os 0.7500 0.2500 0.5000  4 P 2.25
6 Os 0.0000 0.0000 0.0000  4 P 2.25
7 Cd 0.2500 0.7500 0.5000  4 P 2.63
8 Cd 0.5000 0.5000 0.0000  4 P 2.63

Computed properties:
- Space group: I-42d (122)
- Size of the total moment: 0.00 μB/f.u.
- Relative energy among the computed polymorphs: 6.6 kJ/mol of atoms

***

# 11
First-principles (PBE) data for crystalline ErNi4B4 at its relaxed geometry, as listed in the Alexandria database.

Unit cell a=3.8006 b=7.0445 c=7.0445 alpha=90.00 beta=90.00 gamma=90.00
Last column: nearest neighbours and their distance in Å.
Element x y z (fractional)
1 Er 0.5000 0.5000 0.5000  8 B 2.78-2.83, 8 Ni 2.96-3.01
2 Er 0.0000 0.0000 0.0000  8 B 2.78-2.83, 8 Ni 2.96-3.01
3 B 0.1062 0.2039 0.3322  1 B 1.72
4 B 0.1062 0.7961 0.6678  1 B 1.72
5 B 0.6062 0.1678 0.7039  1 B 1.72
6 B 0.3938 0.7039 0.8322  1 B 1.72
7 B 0.3938 0.2961 0.1678  1 B 1.72
8 B 0.6062 0.8322 0.2961  1 B 1.72
9 B 0.8938 0.6678 0.2039  1 B 1.72
10 B 0.8938 0.3322 0.7961  1 B 1.72
11 Ni 0.6090 0.1097 0.3550  4 B 2.00-2.03
12 Ni 0.3910 0.6450 0.1097  4 B 2.00-2.03
13 Ni 0.3910 0.3550 0.8903  4 B 2.00-2.03
14 Ni 0.8910 0.6097 0.8550  4 B 2.00-2.03
15 Ni 0.1090 0.8550 0.3903  4 B 2.00-2.03
16 Ni 0.8910 0.3903 0.1450  4 B 2.00-2.03
17 Ni 0.6090 0.8903 0.6450  4 B 2.00-2.03
18 Ni 0.1090 0.1450 0.6097  4 B 2.00-2.03

Computed properties:
- Space group: P4_2/n (86)
- Size of the total moment: 0.00 μB/f.u.
- Relative energy among the computed polymorphs: 3.1 kJ/mol of atoms